<one>
Computed, not measured: a relaxed Y4NiRh crystal at the PBE level of DFT.

The structure in CIF format:
```
data_Y4NiRh
_chemical_formula_sum 'Y16 Ni4 Rh4'
_space_group_name_H-M_alt 'F -4 3 m'
_space_group_IT_number 216
_space_group_name_Hall 'F -4 2 3'
_cell_length_a 8.441
_cell_length_b 8.441
_cell_length_c 8.441
_cell_angle_alpha 90.00
_cell_angle_beta 90.00
_cell_angle_gamma 90.00
loop_
_atom_site_label
_atom_site_fract_x
_atom_site_fract_y
_atom_site_fract_z
Y1 0.125 0.125 0.125
Ni1 0.250 0.250 0.750
Rh1 0.000 0.000 0.500
```

Values from the calculation:
- crystal system = cubic
- size of the total moment (μB/cell) = 0.032

=====

<two>
Computed, not measured: a relaxed Y4NiRh crystal at the PBE level of DFT.

The structure in CIF format:
```
data_Y4NiRh
_chemical_formula_sum 'Y16 Ni4 Rh4'
_space_group_name_H-M_alt 'C 1 2/c 1'
_space_group_IT_number 15
_cell_length_a 8.888
_cell_length_b 13.283
_cell_length_c 6.322
_cell_angle_alpha 90.00
_cell_angle_beta 125.83
_cell_angle_gamma 90.00
loop_
_space_group_symop_operation_xyz
'x,y,z'
'-x,-y,-z'
'-x,y,-z+1/2'
'x,-y,z+1/2'
'x+1/2,y+1/2,z'
'-x+1/2,-y+1/2,-z'
'-x+1/2,y+1/2,-z+1/2'
'x+1/2,-y+1/2,z+1/2'
loop_
_atom_site_label
_atom_site_fract_x
_atom_site_fract_y
_atom_site_fract_z
Y1 0.135 0.181 0.109
Y2 0.203 0.439 0.268
Ni1 0.000 0.003 0.750
Rh1 0.000 0.362 0.750
```

Values from the calculation:
- crystal system = monoclinic
- size of the total moment (μB/cell) = 0.000

=====

Most stable structure: <two>

=====

<one>
Computed, not measured: a relaxed YNi2Rh2 crystal at the PBE level of DFT.

The structure in CIF format:
```
data_YNi2Rh2
_chemical_formula_sum 'Y4 Ni8 Rh8'
_space_group_name_H-M_alt 'I 4/m m m'
_space_group_IT_number 139
_space_group_name_Hall '-I 4 2'
_cell_length_a 3.953
_cell_length_b 3.953
_cell_length_c 21.118
_cell_angle_alpha 90.00
_cell_angle_beta 90.00
_cell_angle_gamma 90.00
loop_
_atom_site_label
_atom_site_fract_x
_atom_site_fract_y
_atom_site_fract_z
Y1 0.000 0.000 0.125
Ni1 0.000 0.000 0.321
Ni2 0.000 0.500 0.000
Rh1 0.000 0.000 0.431
Rh2 0.000 0.500 0.250
```

Values from the calculation:
- crystal system = tetragonal
- size of the total moment (μB/cell) = 7.048

=====

<two>
Computed, not measured: a relaxed YNi2Rh2 crystal at the PBE level of DFT.

The structure in CIF format:
```
data_YNi2Rh2
_chemical_formula_sum 'Y2 Ni4 Rh4'
_space_group_name_H-M_alt 'I 4/m m m'
_space_group_IT_number 139
_space_group_name_Hall '-I 4 2'
_cell_length_a 4.162
_cell_length_b 4.162
_cell_length_c 9.696
_cell_angle_alpha 90.00
_cell_angle_beta 90.00
_cell_angle_gamma 90.00
loop_
_atom_site_label
_atom_site_fract_x
_atom_site_fract_y
_atom_site_fract_z
Y1 0.000 0.000 0.000
Ni1 0.000 0.500 0.250
Rh1 0.000 0.000 0.376
```

Values from the calculation:
- crystal system = tetragonal
- size of the total moment (μB/cell) = 0.001

=====

<three>
Computed, not measured: a relaxed YNi2Rh2 crystal at the PBE level of DFT.

The structure in CIF format:
```
data_YNi2Rh2
_chemical_formula_sum 'Y2 Ni4 Rh4'
_space_group_name_H-M_alt 'P 4/m b m'
_space_group_IT_number 127
_space_group_name_Hall '-P 4 2ab'
_cell_length_a 7.135
_cell_length_b 7.135
_cell_length_c 2.990
_cell_angle_alpha 90.00
_cell_angle_beta 90.00
_cell_angle_gamma 90.00
loop_
_atom_site_label
_atom_site_fract_x
_atom_site_fract_y
_atom_site_fract_z
Y1 0.000 0.000 0.000
Ni1 0.121 0.379 0.000
Rh1 0.174 0.674 0.500
```

Values from the calculation:
- crystal system = tetragonal
- size of the total moment (μB/cell) = 1.601

=====

<four>
Computed, not measured: a relaxed YNi2Rh2 crystal at the PBE level of DFT.

The structure in CIF format:
```
data_YNi2Rh2
_chemical_formula_sum 'Y2 Ni4 Rh4'
_space_group_name_H-M_alt 'P 4/m b m'
_space_group_IT_number 127
_space_group_name_Hall '-P 4 2ab'
_cell_length_a 7.206
_cell_length_b 7.206
_cell_length_c 2.953
_cell_angle_alpha 90.00
_cell_angle_beta 90.00
_cell_angle_gamma 90.00
loop_
_atom_site_label
_atom_site_fract_x
_atom_site_fract_y
_atom_site_fract_z
Y1 0.000 0.000 0.000
Ni1 0.169 0.331 0.500
Rh1 0.129 0.629 0.000
```

Values from the calculation:
- crystal system = tetragonal
- size of the total moment (μB/cell) = 0.004

=====

Most stable structure: <one>